A relaxed structure of LaNd12Ho7, computed with GGA-PBE.

Geometry as CIF:
```
data_LaNd12Ho7
_symmetry_space_group_name_H-M 'P 1'
_symmetry_Int_Tables_number 1
_symmetry_space_group_name_Hall 'P 1'
_cell_length_a 10.0269
_cell_length_b 10.0269
_cell_length_c 10.0269
_cell_angle_alpha 109.47
_cell_angle_beta 109.47
_cell_angle_gamma 109.47
loop_
_atom_site_label
_atom_site_type_symbol
_atom_site_fract_x
_atom_site_fract_y
_atom_site_fract_z
Ho1 Ho 0.5000 0.5000 0.0000
Ho2 Ho 0.0000 0.5000 0.5000
Ho3 Ho 0.5000 0.0000 0.5000
Ho4 Ho 0.0000 0.0000 0.5000
Ho5 Ho 0.5000 0.5000 0.5000
Ho6 Ho 0.0000 0.5000 0.0000
Ho7 Ho 0.5000 0.0000 0.0000
Nd1 Nd 0.0443 0.2792 0.7651
Nd2 Nd 0.7208 0.2349 0.9557
Nd3 Nd 0.2349 0.5141 0.2792
Nd4 Nd 0.7651 0.4859 0.7208
Nd5 Nd 0.9557 0.7208 0.2349
Nd6 Nd 0.7208 0.7651 0.4859
Nd7 Nd 0.2349 0.9557 0.7208
Nd8 Nd 0.5141 0.2792 0.2349
Nd9 Nd 0.4859 0.7208 0.7651
Nd10 Nd 0.2792 0.7651 0.0443
Nd11 Nd 0.7651 0.0443 0.2792
Nd12 Nd 0.2792 0.2349 0.5141
La1 La 0.0000 0.0000 0.0000
```

Values from the calculation:
- E above lowest polymorph (meV per atom) = 512.4
- raw total energy (eV/cell) = -81.0
- ΔH_f (0 K) (eV/atom) = 0.662
- space-group type = No. 204


A relaxed structure of Dy4YTl2, computed with GGA-PBE.

Geometry as CIF:
```
data_Dy4YTl2
_symmetry_space_group_name_H-M 'P 1'
_symmetry_Int_Tables_number 1
_symmetry_space_group_name_Hall 'P 1'
_cell_length_a 5.4913
_cell_length_b 5.4913
_cell_length_c 9.3286
_cell_angle_alpha 72.88
_cell_angle_beta 72.88
_cell_angle_gamma 60.00
loop_
_atom_site_label
_atom_site_type_symbol
_atom_site_fract_x
_atom_site_fract_y
_atom_site_fract_z
Dy1 Dy 0.7373 0.7373 0.7882
Dy2 Dy 0.1309 0.1309 0.6073
Dy3 Dy 0.8691 0.8691 0.3927
Dy4 Dy 0.2627 0.2627 0.2118
Tl1 Tl 0.6192 0.6192 0.1423
Tl2 Tl 0.3808 0.3808 0.8577
Y1 Y 0.5000 0.5000 0.5000
```

Values from the calculation:
- E above lowest polymorph (meV per atom) = 0.0
- raw total energy (eV/cell) = -29.1
- ΔH_f (0 K) (eV/atom) = 0.069
- space-group type = No. 166


A relaxed structure of Rb2YCu2Se4, computed with GGA-PBE.

Geometry as CIF:
```
data_Rb2YCu2Se4
_symmetry_space_group_name_H-M 'P 1'
_symmetry_Int_Tables_number 1
_symmetry_space_group_name_Hall 'P 1'
_cell_length_a 4.0662
_cell_length_b 8.2320
_cell_length_c 7.8557
_cell_angle_alpha 107.78
_cell_angle_beta 105.00
_cell_angle_gamma 90.00
loop_
_atom_site_label
_atom_site_type_symbol
_atom_site_fract_x
_atom_site_fract_y
_atom_site_fract_z
Cu1 Cu 0.3180 0.0127 0.6361
Cu2 Cu 0.6820 0.9873 0.3639
Rb1 Rb 0.8680 0.4452 0.7360
Rb2 Rb 0.1320 0.5548 0.2640
Se1 Se 0.7988 0.8305 0.5977
Se2 Se 0.2012 0.1695 0.4023
Se3 Se 0.4765 0.2274 0.9531
Se4 Se 0.5235 0.7726 0.0469
Y1 Y 0.0000 0.0000 0.0000
```

Values from the calculation:
- raw total energy (eV/cell) = -40.1
- space-group type = No. 12
- formation energy from raw total energies (eV/atom) = -1.06


A relaxed structure of U3Be5S12, computed with GGA-PBE.

Geometry as CIF:
```
data_U3Be5S12
_symmetry_space_group_name_H-M 'P 1'
_symmetry_Int_Tables_number 1
_symmetry_space_group_name_Hall 'P 1'
_cell_length_a 12.2777
_cell_length_b 12.2777
_cell_length_c 12.2777
_cell_angle_alpha 109.47
_cell_angle_beta 109.47
_cell_angle_gamma 109.47
loop_
_atom_site_label
_atom_site_type_symbol
_atom_site_fract_x
_atom_site_fract_y
_atom_site_fract_z
S1 S 0.5927 0.9749 0.6816
S2 S 0.9073 0.0889 0.8822
S3 S 0.9111 0.8184 0.7933
S4 S 0.2067 0.6816 0.0889
S5 S 0.5889 0.7067 0.6816
S6 S 0.3184 0.7933 0.4111
S7 S 0.2933 0.4111 0.8184
S8 S 0.0251 0.4073 0.8184
S9 S 0.7933 0.4749 0.3822
S10 S 0.6178 0.0251 0.2067
S11 S 0.0927 0.1816 0.4749
S12 S 0.4111 0.1178 0.5927
S13 S 0.5251 0.2067 0.1178
S14 S 0.0927 0.9111 0.1178
S15 S 0.9749 0.3822 0.2933
S16 S 0.6816 0.2067 0.5889
S17 S 0.4749 0.7933 0.8822
S18 S 0.8184 0.9073 0.0251
S19 S 0.1178 0.7067 0.5251
S20 S 0.8822 0.5889 0.9073
S21 S 0.4749 0.6816 0.0927
S22 S 0.0251 0.6178 0.7067
S23 S 0.1816 0.0927 0.9749
S24 S 0.7067 0.5889 0.1816
S25 S 0.0889 0.1816 0.2067
S26 S 0.7933 0.3184 0.9111
S27 S 0.9749 0.5927 0.1816
S28 S 0.2067 0.5251 0.6178
S29 S 0.6816 0.4749 0.5927
S30 S 0.7067 0.1178 0.0251
S31 S 0.3822 0.4073 0.0889
S32 S 0.9073 0.8184 0.5251
S33 S 0.1178 0.4111 0.0927
S34 S 0.4111 0.2933 0.3184
S35 S 0.8822 0.2933 0.4749
S36 S 0.4073 0.3822 0.5889
S37 S 0.3184 0.5251 0.4073
S38 S 0.0889 0.9073 0.3822
S39 S 0.4073 0.0251 0.3184
S40 S 0.1816 0.0889 0.7067
S41 S 0.9111 0.0927 0.6178
S42 S 0.6178 0.5927 0.9111
S43 S 0.5251 0.3184 0.9073
S44 S 0.2933 0.8822 0.9749
S45 S 0.5927 0.6178 0.4111
S46 S 0.5889 0.8822 0.4073
S47 S 0.3822 0.9749 0.7933
S48 S 0.8184 0.9111 0.2933
Be1 Be 0.6250 0.7500 0.8750
Be2 Be 0.2500 0.3750 0.6250
Be3 Be 0.2500 0.8750 0.1250
Be4 Be 0.3750 0.2500 0.1250
Be5 Be 0.0000 0.0000 0.5000
Be6 Be 0.5000 0.0000 0.0000
Be7 Be 0.7500 0.6250 0.3750
Be8 Be 0.0000 0.5000 0.5000
Be9 Be 0.0000 0.0000 0.0000
Be10 Be 0.8750 0.2500 0.6250
Be11 Be 0.1250 0.7500 0.3750
Be12 Be 0.1250 0.3750 0.2500
Be13 Be 0.5000 0.5000 0.0000
Be14 Be 0.0000 0.5000 0.0000
Be15 Be 0.3750 0.1250 0.7500
Be16 Be 0.6250 0.8750 0.2500
Be17 Be 0.5000 0.0000 0.5000
Be18 Be 0.8750 0.6250 0.7500
Be19 Be 0.7500 0.1250 0.8750
Be20 Be 0.5000 0.5000 0.5000
U1 U 0.8750 0.1250 0.2500
U2 U 0.3750 0.6250 0.2500
U3 U 0.2500 0.6250 0.8750
U4 U 0.1250 0.8750 0.7500
U5 U 0.7500 0.8750 0.6250
U6 U 0.2500 0.1250 0.3750
U7 U 0.8750 0.7500 0.1250
U8 U 0.1250 0.2500 0.8750
U9 U 0.6250 0.3750 0.7500
U10 U 0.3750 0.7500 0.6250
U11 U 0.6250 0.2500 0.3750
U12 U 0.7500 0.3750 0.1250
```

Values from the calculation:
- raw total energy (eV/cell) = -488.8
- space-group type = No. 230
- formation energy from raw total energies (eV/atom) = -1.01


A relaxed structure of La12PmDy3, computed with GGA-PBE.

Geometry as CIF:
```
data_La12PmDy3
_symmetry_space_group_name_H-M 'P 1'
_symmetry_Int_Tables_number 1
_symmetry_space_group_name_Hall 'P 1'
_cell_length_a 5.2168
_cell_length_b 5.2168
_cell_length_c 20.8477
_cell_angle_alpha 90.00
_cell_angle_beta 90.00
_cell_angle_gamma 90.00
loop_
_atom_site_label
_atom_site_type_symbol
_atom_site_fract_x
_atom_site_fract_y
_atom_site_fract_z
La1 La 0.5000 0.5000 0.2507
La2 La 0.5000 0.5000 0.7493
La3 La 0.0000 0.5000 0.1261
La4 La 0.5000 0.5000 0.0000
La5 La 0.5000 0.0000 0.6245
La6 La 0.5000 0.5000 0.5000
La7 La 0.5000 0.0000 0.1261
La8 La 0.0000 0.5000 0.6245
La9 La 0.0000 0.5000 0.3755
La10 La 0.5000 0.0000 0.8739
La11 La 0.5000 0.0000 0.3755
La12 La 0.0000 0.5000 0.8739
Pm1 Pm 0.0000 0.0000 0.0000
Dy1 Dy 0.0000 0.0000 0.2509
Dy2 Dy 0.0000 0.0000 0.5000
Dy3 Dy 0.0000 0.0000 0.7491
```

Values from the calculation:
- raw total energy (eV/cell) = -77.6
- ΔH_f (0 K) (eV/atom) = 0.008
- space-group type = No. 123


A relaxed structure of SmAl11Rh, computed with GGA-PBE.

Geometry as CIF:
```
data_SmAl11Rh
_symmetry_space_group_name_H-M 'P 1'
_symmetry_Int_Tables_number 1
_symmetry_space_group_name_Hall 'P 1'
_cell_length_a 5.1812
_cell_length_b 7.2159
_cell_length_c 6.8500
_cell_angle_alpha 82.97
_cell_angle_beta 67.78
_cell_angle_gamma 71.11
loop_
_atom_site_label
_atom_site_type_symbol
_atom_site_fract_x
_atom_site_fract_y
_atom_site_fract_z
Al1 Al 0.6430 0.3585 0.3507
Al2 Al 0.4996 0.2276 0.7817
Al3 Al 0.5004 0.7724 0.2183
Al4 Al 0.0000 0.5000 0.0000
Al5 Al 0.0000 0.0000 0.5000
Al6 Al 0.2814 0.2276 0.2183
Al7 Al 0.5000 0.0000 0.5000
Al8 Al 0.7186 0.7724 0.7817
Al9 Al 0.9937 0.3585 0.6493
Al10 Al 0.0063 0.6415 0.3507
Al11 Al 0.3570 0.6415 0.6493
Sm1 Sm 0.0000 0.0000 0.0000
Rh1 Rh 0.5000 0.5000 0.0000
```

Values from the calculation:
- raw total energy (eV/cell) = -57.1
- ΔH_f (0 K) (eV/atom) = -0.300
- space-group type = No. 12


A relaxed structure of Tb6Y8In, computed with GGA-PBE.

Geometry as CIF:
```
data_Tb6Y8In
_symmetry_space_group_name_H-M 'P 1'
_symmetry_Int_Tables_number 1
_symmetry_space_group_name_Hall 'P 1'
_cell_length_a 6.3211
_cell_length_b 9.4111
_cell_length_c 9.4111
_cell_angle_alpha 120.00
_cell_angle_beta 90.00
_cell_angle_gamma 90.00
loop_
_atom_site_label
_atom_site_type_symbol
_atom_site_fract_x
_atom_site_fract_y
_atom_site_fract_z
Tb1 Tb 0.3177 0.5458 0.6389
Tb2 Tb 0.6823 0.9069 0.5458
Tb3 Tb 0.3177 0.0931 0.4542
Tb4 Tb 0.3177 0.3611 0.9069
Tb5 Tb 0.6823 0.4542 0.3611
Tb6 Tb 0.6823 0.6389 0.0931
Y1 Y 0.8104 0.2272 0.9614
Y2 Y 0.1788 0.6667 0.3333
Y3 Y 0.8212 0.3333 0.6667
Y4 Y 0.1896 0.2658 0.2272
Y5 Y 0.8104 0.0386 0.2658
Y6 Y 0.1896 0.7728 0.0386
Y7 Y 0.8104 0.7342 0.7728
Y8 Y 0.1896 0.9614 0.7342
In1 In 0.5000 0.0000 0.0000
```

Values from the calculation:
- raw total energy (eV/cell) = -81.1
- ΔH_f (0 K) (eV/atom) = 0.077
- space-group type = No. 147


A relaxed structure of InPd5Au3, computed with GGA-PBE.

Geometry as CIF:
```
data_InPd5Au3
_symmetry_space_group_name_H-M 'P 1'
_symmetry_Int_Tables_number 1
_symmetry_space_group_name_Hall 'P 1'
_cell_length_a 6.2051
_cell_length_b 6.2051
_cell_length_c 9.9415
_cell_angle_alpha 81.94
_cell_angle_beta 81.94
_cell_angle_gamma 75.84
loop_
_atom_site_label
_atom_site_type_symbol
_atom_site_fract_x
_atom_site_fract_y
_atom_site_fract_z
Au1 Au 0.2803 0.2803 0.4660
Au2 Au 0.6613 0.6613 0.8003
Au3 Au 0.0000 0.0000 0.0000
Au4 Au 0.7197 0.7197 0.5340
Au5 Au 0.3387 0.3387 0.1997
Au6 Au 0.0000 0.0000 0.5000
Pd1 Pd 0.7162 0.7162 0.0723
Pd2 Pd 0.0907 0.7175 0.7773
Pd3 Pd 0.9093 0.2825 0.2227
Pd4 Pd 0.4438 0.4438 0.6533
Pd5 Pd 0.6717 0.3283 0.0000
Pd6 Pd 0.2838 0.2838 0.9277
Pd7 Pd 0.7175 0.0907 0.7773
Pd8 Pd 0.2825 0.9093 0.2227
Pd9 Pd 0.5562 0.5562 0.3467
Pd10 Pd 0.3283 0.6717 0.0000
In1 In 0.8525 0.8525 0.2753
In2 In 0.1475 0.1475 0.7247
```

Values from the calculation:
- raw total energy (eV/cell) = -74.0
- ΔH_f (0 K) (eV/atom) = 0.171
- space-group type = No. 12


A relaxed structure of La2CdSi, computed with GGA-PBE.

Geometry as CIF:
```
data_La2CdSi
_symmetry_space_group_name_H-M 'P 1'
_symmetry_Int_Tables_number 1
_symmetry_space_group_name_Hall 'P 1'
_cell_length_a 5.1980
_cell_length_b 5.1980
_cell_length_c 4.0785
_cell_angle_alpha 89.99
_cell_angle_beta 89.99
_cell_angle_gamma 89.99
loop_
_atom_site_label
_atom_site_type_symbol
_atom_site_fract_x
_atom_site_fract_y
_atom_site_fract_z
La1 La 0.5000 0.5000 0.0000
La2 La 0.0000 0.0000 0.0000
Cd1 Cd 0.0000 0.5000 0.5000
Si1 Si 0.5000 0.0000 0.5000
```

Values from the calculation:
- raw total energy (eV/cell) = -17.9
- space-group type = No. 123
- formation energy from raw total energies (eV/atom) = -0.42


A relaxed structure of YIrSe2, computed with GGA-PBE.

Geometry as CIF:
```
data_YIrSe2
_symmetry_space_group_name_H-M 'P 1'
_symmetry_Int_Tables_number 1
_symmetry_space_group_name_Hall 'P 1'
_cell_length_a 7.8256
_cell_length_b 7.8256
_cell_length_c 7.8256
_cell_angle_alpha 29.77
_cell_angle_beta 29.77
_cell_angle_gamma 29.77
loop_
_atom_site_label
_atom_site_type_symbol
_atom_site_fract_x
_atom_site_fract_y
_atom_site_fract_z
Y1 Y 0.4962 0.4962 0.4962
Se1 Se 0.0406 0.0406 0.0406
Se2 Se 0.2301 0.2301 0.2301
Ir1 Ir 0.7332 0.7332 0.7332
```

Values from the calculation:
- E above lowest polymorph (meV per atom) = 158.1
- raw total energy (eV/cell) = -25.4
- space-group type = No. 160
- formation energy from raw total energies (eV/atom) = -0.77


A relaxed structure of Mg4Ga2Ag5, computed with GGA-PBE.

Geometry as CIF:
```
data_Mg4Ga2Ag5
_symmetry_space_group_name_H-M 'P 1'
_symmetry_Int_Tables_number 1
_symmetry_space_group_name_Hall 'P 1'
_cell_length_a 4.7190
_cell_length_b 8.3429
_cell_length_c 5.6457
_cell_angle_alpha 89.21
_cell_angle_beta 114.70
_cell_angle_gamma 90.00
loop_
_atom_site_label
_atom_site_type_symbol
_atom_site_fract_x
_atom_site_fract_y
_atom_site_fract_z
Ga1 Ga 0.6094 0.3604 0.2188
Ga2 Ga 0.3906 0.6396 0.7812
Mg1 Mg 0.6664 0.7279 0.3327
Mg2 Mg 0.3336 0.2721 0.6673
Mg3 Mg 0.9590 0.8157 0.9180
Mg4 Mg 0.0410 0.1843 0.0820
Ag1 Ag 0.2224 0.9101 0.4448
Ag2 Ag 0.7776 0.0899 0.5552
Ag3 Ag 0.5000 0.0000 0.0000
Ag4 Ag 0.1393 0.5296 0.2787
Ag5 Ag 0.8607 0.4704 0.7213
```

Values from the calculation:
- E above lowest polymorph (meV per atom) = 0.0
- raw total energy (eV/cell) = -28.3
- ΔH_f (0 K) (eV/atom) = -0.148
- space-group type = No. 12


A relaxed structure of CdHgSb2I, computed with GGA-PBE.

Geometry as CIF:
```
data_CdHgSb2I
_symmetry_space_group_name_H-M 'P 1'
_symmetry_Int_Tables_number 1
_symmetry_space_group_name_Hall 'P 1'
_cell_length_a 5.6468
_cell_length_b 5.6468
_cell_length_c 6.0654
_cell_angle_alpha 90.00
_cell_angle_beta 90.00
_cell_angle_gamma 90.00
loop_
_atom_site_label
_atom_site_type_symbol
_atom_site_fract_x
_atom_site_fract_y
_atom_site_fract_z
Hg1 Hg 0.5000 0.5000 0.5000
I1 I 0.0000 0.0000 0.5000
Sb1 Sb 0.0000 0.5000 0.0000
Sb2 Sb 0.5000 0.0000 0.0000
Cd1 Cd 0.0000 0.0000 0.0000
```

Values from the calculation:
- E above lowest polymorph (meV per atom) = 0.0
- raw total energy (eV/cell) = -8.4
- space-group type = No. 123
- formation energy from raw total energies (eV/atom) = 0.52